A plane-wave DFT calculation with GGA-PBE was carried out for BaSnSb3 after structural relaxation.

Lattice parameters (Å, degrees): 6.1242 6.1242 6.1242 90.00 90.00 90.00
With the nearest neighbours (Å) after each atom.
Space group Pm-3m (No. 221)
Inequivalent atoms, fractional coordinates:
Ba 0.0000 0.0000 0.0000 [1 per cell]  6 Sb 3.06
Sn 0.5000 0.5000 0.5000 [1 per cell]  12 Sb 4.33
Sb 0.0000 0.0000 0.5000 [3 per cell]  2 Ba 3.06

N(E_F)	0.8492	states/eV per atom
total moment	0.00	μB/f.u.
formation energy from raw total energies	0.93	eV/atom
energy above the lowest structure with this stoichiometry	616	kJ/mol of formula units
crystal system	cubic

***

A plane-wave DFT calculation with GGA-PBE was carried out for Ba2SnSb3 after structural relaxation.

Lattice parameters (Å, degrees): 17.0271 7.2784 7.3549 90.00 102.18 90.00
With the nearest neighbours (Å) after each atom.
Space group C2/c (No. 15)
Inequivalent atoms, fractional coordinates:
Ba 0.1692 0.0921 0.0805 [8 per cell]  4 Sb 3.43-3.56
Sn 0.0000 0.4067 0.2500 [4 per cell]  5 Sb 2.92-3.15
Sb 0.0000 0.0049 0.2500 [4 per cell]  1 Sn 2.92
Sb 0.1419 0.4332 0.6023 [8 per cell]  2 Sn 3.08-3.15

N(E_F)	0.3339	states/eV per atom
total moment	0.00	μB/f.u.
formation energy from raw total energies	-0.47	eV/atom
energy above the lowest structure with this stoichiometry	126	kJ/mol of formula units
crystal system	monoclinic

***

A plane-wave DFT calculation with GGA-PBE was carried out for BaSn2Sb after structural relaxation.

Lattice parameters (Å, degrees): 9.1336 9.1336 6.8179 90.00 90.00 90.00
With the nearest neighbours (Å) after each atom.
Space group I-42d (No. 122)
Inequivalent atoms, fractional coordinates:
Ba 0.0000 0.0000 0.0000 [4 per cell]  2 Sb 3.41, 4 Sn 3.65
Sn 0.2025 0.2500 0.6250 [8 per cell]  2 Sb 3.06
Sb 0.0000 0.0000 0.5000 [4 per cell]  4 Sn 3.06, 2 Ba 3.41

N(E_F)	0.6490	states/eV per atom
total moment	0.00	μB/f.u.
formation energy from raw total energies	-0.31	eV/atom
crystal system	tetragonal

***

A plane-wave DFT calculation with GGA-PBE was carried out for Ba2SnSb after structural relaxation.

Lattice parameters (Å, degrees): 6.9449 4.6538 10.2535 90.00 106.13 90.00
With the nearest neighbours (Å) after each atom.
Space group P2_1/m (No. 11)
Inequivalent atoms, fractional coordinates:
Ba 0.2017 0.2500 0.4294 [2 per cell]  3 Sb 3.61-3.85, 4 Sn 3.63-3.82
Ba 0.2926 0.7500 0.0671 [2 per cell]  4 Sb 3.60-3.83, 3 Sn 3.63-3.85
Sn 0.3695 0.7500 0.7094 [2 per cell]  2 Sb 3.08
Sb 0.1362 0.2500 0.7901 [2 per cell]  2 Sn 3.08

N(E_F)	0.9032	states/eV per atom
total moment	0.00	μB/f.u.
formation energy from raw total energies	-0.77	eV/atom
energy above the lowest structure with this stoichiometry	0	kJ/mol of formula units
crystal system	monoclinic

***

A plane-wave DFT calculation with GGA-PBE was carried out for Ba2SnSb after structural relaxation.

Lattice parameters (Å, degrees): 4.4614 4.4614 7.6089 90.00 90.00 90.00
With the nearest neighbours (Å) after each atom.
Space group P4/mmm (No. 123)
Inequivalent atoms, fractional coordinates:
Ba 0.0000 0.0000 0.2363 [2 per cell]  2 Ba 3.60-4.01, 4 Sb 3.63, 4 Sn 3.74
Sn 0.5000 0.5000 0.5000 [1 per cell]  8 Ba 3.74, 2 Sb 3.80
Sb 0.5000 0.5000 0.0000 [1 per cell]  8 Ba 3.63, 2 Sn 3.80

N(E_F)	0.5862	states/eV per atom
total moment	0.00	μB/f.u.
formation energy from raw total energies	-0.71	eV/atom
energy above the lowest structure with this stoichiometry	23	kJ/mol of formula units
crystal system	tetragonal

***

A plane-wave DFT calculation with GGA-PBE was carried out for BaSnSb after structural relaxation.

Lattice parameters (Å, degrees): 5.1666 9.0396 9.5929 90.00 90.00 90.00
With the nearest neighbours (Å) after each atom.
Space group Immm (No. 71)
Inequivalent atoms, fractional coordinates:
Ba 0.0000 0.0000 0.2448 [4 per cell]  6 Sb 3.82-3.85, 6 Sn 3.85
Sn 0.0000 0.3372 0.0000 [4 per cell]  1 Sn 2.94, 2 Sb 2.99
Sb 0.0000 0.3289 0.5000 [4 per cell]  2 Sn 2.99, 1 Sb 3.09

N(E_F)	0.4624	states/eV per atom
total moment	0.00	μB/f.u.
formation energy from raw total energies	-0.60	eV/atom
energy above the lowest structure with this stoichiometry	5	kJ/mol of formula units
crystal system	orthorhombic

***

A plane-wave DFT calculation with GGA-PBE was carried out for BaSn4Sb2 after structural relaxation.

Lattice parameters (Å, degrees): 9.6406 9.6406 4.9262 90.00 90.00 90.00
With the nearest neighbours (Å) after each atom.
Space group P4_2/mnm (No. 136)
Inequivalent atoms, fractional coordinates:
Ba 0.0000 0.0000 0.0000 [2 per cell]  6 Sb 3.78-3.95, 4 Sn 4.22
Sn 0.0878 0.3541 0.5000 [8 per cell]  3 Sb 3.19-3.20, 5 Sn 3.28-3.38
Sb 0.2106 0.7894 0.5000 [4 per cell]  6 Sn 3.19-3.20

N(E_F)	0.5745	states/eV per atom
total moment	0.00	μB/f.u.
formation energy from raw total energies	-0.21	eV/atom
energy above the lowest structure with this stoichiometry	12	kJ/mol of formula units
crystal system	tetragonal

***

A plane-wave DFT calculation with GGA-PBE was carried out for Ba5Sn2Sb6 after structural relaxation.

Lattice parameters (Å, degrees): 13.3681 16.2584 4.7810 90.00 90.00 90.00
With the nearest neighbours (Å) after each atom.
Space group Pbam (No. 55)
Inequivalent atoms, fractional coordinates:
Ba 0.0000 0.0000 0.0000 [2 per cell]  6 Sb 3.60-3.66
Ba 0.0735 0.2540 0.0000 [4 per cell]  6 Sb 3.54-3.61
Ba 0.1721 0.5123 0.0000 [4 per cell]  7 Sb 3.54-3.78
Sn 0.1720 0.7174 0.5000 [4 per cell]  4 Sb 2.94-3.00
Sb 0.0045 0.5946 0.5000 [4 per cell]  1 Sn 3.00, 1 Sb 3.08
Sb 0.1554 0.1051 0.5000 [4 per cell]  1 Sn 2.94
Sb 0.1773 0.8281 0.0000 [4 per cell]  2 Sn 2.99

N(E_F)	0.1953	states/eV per atom
total moment	0.00	μB/f.u.
formation energy from raw total energies	-0.79	eV/atom
crystal system	orthorhombic

***

A plane-wave DFT calculation with GGA-PBE was carried out for BaSn2Sb after structural relaxation.

Lattice parameters (Å, degrees): 4.9399 4.9399 5.1373 90.00 90.00 90.00
With the nearest neighbours (Å) after each atom.
Space group P4/mmm (No. 123)
Inequivalent atoms, fractional coordinates:
Ba 0.0000 0.0000 0.0000 [1 per cell]  4 Sb 3.49, 8 Sn 3.56
Sn 0.0000 0.5000 0.5000 [2 per cell]  4 Sn 3.49, 4 Ba 3.56, 4 Sb 3.56
Sb 0.5000 0.5000 0.0000 [1 per cell]  4 Ba 3.49, 8 Sn 3.56

N(E_F)	0.5915	states/eV per atom
total moment	0.00	μB/f.u.
formation energy from raw total energies	-0.40	eV/atom
crystal system	tetragonal

***

A plane-wave DFT calculation with GGA-PBE was carried out for Ba5Sn2Sb after structural relaxation.

Lattice parameters (Å, degrees): 9.1596 9.1596 16.5624 90.00 90.00 90.00
With the nearest neighbours (Å) after each atom.
Space group I4/mcm (No. 140)
Inequivalent atoms, fractional coordinates:
Ba 0.0000 0.0000 0.0000 [4 per cell]  4 Sn 3.67
Ba 0.1732 0.3268 0.1456 [16 per cell]  3 Sn 3.63, 2 Sb 3.80, 1 Ba 3.99
Sn 0.1169 0.3831 0.5000 [8 per cell]  1 Sn 3.03
Sb 0.0000 0.0000 0.2500 [4 per cell]  10 Ba 3.80-4.14

N(E_F)	0.2564	states/eV per atom
total moment	0.92	μB/f.u.
formation energy from raw total energies	-0.74	eV/atom
crystal system	tetragonal

***

A plane-wave DFT calculation with GGA-PBE was carried out for BaSnSb after structural relaxation.

Lattice parameters (Å, degrees): 5.1933 5.1933 4.7968 90.00 90.00 120.00
With the nearest neighbours (Å) after each atom.
Space group P3m1 (No. 156)
Inequivalent atoms, fractional coordinates:
Ba 0.0000 0.0000 0.0000 [1 per cell]  6 Sn 3.84, 6 Sb 3.84
Sn 0.3333 0.6667 0.4990 [1 per cell]  3 Sb 3.00
Sb 0.6667 0.3333 0.5009 [1 per cell]  3 Sn 3.00

N(E_F)	0.5046	states/eV per atom
total moment	0.00	μB/f.u.
formation energy from raw total energies	-0.62	eV/atom
energy above the lowest structure with this stoichiometry	0	kJ/mol of formula units
crystal system	trigonal

***

A plane-wave DFT calculation with GGA-PBE was carried out for Ba2Sn2Sb3 after structural relaxation.

Lattice parameters (Å, degrees): 16.9044 5.2421 13.9339 90.00 123.48 90.00
With the nearest neighbours (Å) after each atom.
Space group C2/m (No. 12)
Inequivalent atoms, fractional coordinates:
Ba 0.0901 0.0000 0.3483 [4 per cell]  6 Sb 3.60-3.75, 5 Sn 3.67-3.94
Ba 0.1484 0.0000 0.0582 [4 per cell]  7 Sb 3.50-3.75, 1 Sn 3.91
Sn 0.0808 0.5000 0.7017 [4 per cell]  3 Sb 2.94-3.04
Sn 0.2428 0.5000 0.3135 [4 per cell]  4 Sb 2.96-3.05
Sb 0.0311 0.5000 0.1259 [4 per cell]  1 Sn 3.05, 1 Sb 3.06
Sb 0.1667 0.5000 0.5667 [4 per cell]  3 Sn 2.94-3.03
Sb 0.1723 0.0000 0.8242 [4 per cell]  3 Sn 2.96-3.04

N(E_F)	0.2785	states/eV per atom
total moment	0.00	μB/f.u.
formation energy from raw total energies	-0.57	eV/atom
crystal system	monoclinic

***

A plane-wave DFT calculation with GGA-PBE was carried out for BaSnSb3 after structural relaxation.

Lattice parameters (Å, degrees): 5.7413 5.7413 5.7413 90.00 90.00 90.00
With the nearest neighbours (Å) after each atom.
Space group Pm-3m (No. 221)
Inequivalent atoms, fractional coordinates:
Ba 0.0000 0.0000 0.0000 [1 per cell]  12 Sb 4.06
Sn 0.5000 0.5000 0.5000 [1 per cell]  6 Sb 2.87
Sb 0.0000 0.5000 0.5000 [3 per cell]  2 Sn 2.87

N(E_F)	1.1269	states/eV per atom
total moment	0.00	μB/f.u.
formation energy from raw total energies	0.02	eV/atom
energy above the lowest structure with this stoichiometry	175	kJ/mol of formula units
crystal system	cubic

***

A plane-wave DFT calculation with GGA-PBE was carried out for Ba2SnSb3 after structural relaxation.

Lattice parameters (Å, degrees): 8.4646 5.1805 20.2078 90.00 90.00 90.00
With the nearest neighbours (Å) after each atom.
Space group Pnma (No. 62)
Inequivalent atoms, fractional coordinates:
Ba 0.1122 0.2500 0.0885 [4 per cell]  7 Sb 3.57-3.68
Ba 0.1215 0.2500 0.2978 [4 per cell]  9 Sb 3.61-3.90, 2 Sn 3.79
Sn 0.0762 0.7500 0.4334 [4 per cell]  4 Sb 3.01-3.17
Sb 0.0835 0.2500 0.8127 [4 per cell]  1 Sb 2.88
Sb 0.1899 0.2500 0.6774 [4 per cell]  1 Sb 2.88, 1 Sn 3.17
Sb 0.2166 0.2500 0.4806 [4 per cell]  3 Sn 3.01-3.03

N(E_F)	0.2551	states/eV per atom
total moment	0.00	μB/f.u.
formation energy from raw total energies	-0.69	eV/atom
energy above the lowest structure with this stoichiometry	0	kJ/mol of formula units
crystal system	orthorhombic

***

A plane-wave DFT calculation with GGA-PBE was carried out for BaSnSb after structural relaxation.

Lattice parameters (Å, degrees): 8.2275 13.0756 17.2342 90.00 90.00 90.00
With the nearest neighbours (Å) after each atom.
Space group Fddd (No. 70, origin choice 2)
Inequivalent atoms, fractional coordinates:
Ba 0.1250 0.1250 0.3166 [16 per cell]  4 Sb 3.47-3.61, 4 Sn 3.68-3.70
Sn 0.0000 0.0000 0.5000 [16 per cell]  2 Sb 3.16
Sb 0.0520 0.3750 0.3750 [16 per cell]  1 Sb 2.91, 2 Sn 3.16

N(E_F)	0.8153	states/eV per atom
total moment	0.00	μB/f.u.
formation energy from raw total energies	-0.42	eV/atom
energy above the lowest structure with this stoichiometry	57	kJ/mol of formula units
crystal system	orthorhombic

***

A plane-wave DFT calculation with GGA-PBE was carried out for Ba4SnSb4 after structural relaxation.

Lattice parameters (Å, degrees): 10.1459 10.1459 7.4158 90.00 90.00 90.00
With the nearest neighbours (Å) after each atom.
Space group P4_2/nmc (No. 137, origin choice 2)
Inequivalent atoms, fractional coordinates:
Ba 0.0148 0.2500 0.0595 [8 per cell]  1 Sn 3.53, 6 Sb 3.55-3.89
Sn 0.2500 0.7500 0.2500 [2 per cell]  4 Sb 2.87
Sb 0.0136 0.7500 0.4634 [8 per cell]  1 Sn 2.87

N(E_F)	0.1310	states/eV per atom
total moment	0.00	μB/f.u.
formation energy from raw total energies	-0.86	eV/atom
crystal system	tetragonal

***

A plane-wave DFT calculation with GGA-PBE was carried out for BaSn4Sb2 after structural relaxation.

Lattice parameters (Å, degrees): 5.3150 5.3150 28.3699 90.00 90.00 120.00
With the nearest neighbours (Å) after each atom.
Space group R-3m (No. 166, hexagonal axes)
Inequivalent atoms, fractional coordinates:
Ba 0.0000 0.0000 0.0000 [3 per cell]  6 Sb 3.59
Sn 0.0000 0.0000 0.1625 [6 per cell]  1 Sb 2.98, 3 Sn 3.08
Sn 0.0000 0.0000 0.4394 [6 per cell]  3 Sb 3.28, 7 Sn 3.44-3.58
Sb 0.0000 0.0000 0.2676 [6 per cell]  4 Sn 2.98-3.28

N(E_F)	0.4423	states/eV per atom
total moment	0.00	μB/f.u.
formation energy from raw total energies	-0.23	eV/atom
energy above the lowest structure with this stoichiometry	0	kJ/mol of formula units
crystal system	trigonal

***

A plane-wave DFT calculation with GGA-PBE was carried out for Ba3SnSb4 after structural relaxation.

Lattice parameters (Å, degrees): 6.1512 15.3397 7.3264 90.00 90.00 90.00
With the nearest neighbours (Å) after each atom.
Space group Imm2 (No. 44)
Inequivalent atoms, fractional coordinates:
Ba 0.0000 0.0000 0.0000 [2 per cell]  2 Sb 3.49, 2 Sn 3.58
Ba 0.0000 0.2957 0.9180 [4 per cell]  6 Sb 3.55-3.80, 1 Sn 3.97
Sn 0.0000 0.5000 0.2512 [2 per cell]  4 Sb 2.84-2.85
Sb 0.0000 0.3348 0.4301 [4 per cell]  1 Sn 2.85
Sb 0.2302 0.0000 0.4361 [4 per cell]  1 Sb 2.83, 1 Sn 2.84

N(E_F)	0.2108	states/eV per atom
total moment	0.00	μB/f.u.
formation energy from raw total energies	-0.61	eV/atom
crystal system	orthorhombic

***

A plane-wave DFT calculation with GGA-PBE was carried out for Ba2SnSb after structural relaxation.

Lattice parameters (Å, degrees): 8.5124 8.5124 8.5124 90.00 90.00 90.00
With the nearest neighbours (Å) after each atom.
Space group Fm-3m (No. 225)
Inequivalent atoms, fractional coordinates:
Ba 0.2500 0.2500 0.2500 [8 per cell]  4 Sn 3.69, 4 Sb 3.69
Sn 0.0000 0.0000 0.0000 [4 per cell]  8 Ba 3.69
Sb 0.0000 0.0000 0.5000 [4 per cell]  8 Ba 3.69

N(E_F)	0.8325	states/eV per atom
total moment	0.00	μB/f.u.
formation energy from raw total energies	-0.64	eV/atom
energy above the lowest structure with this stoichiometry	51	kJ/mol of formula units
crystal system	cubic

***

A plane-wave DFT calculation with GGA-PBE was carried out for BaSnSb after structural relaxation.

Lattice parameters (Å, degrees): 7.1586 7.0900 11.0563 90.00 123.88 90.00
With the nearest neighbours (Å) after each atom.
Space group P2_1/c (No. 14)
Inequivalent atoms, fractional coordinates:
Ba 0.1177 0.2273 0.4335 [4 per cell]  4 Sb 3.57-3.69, 5 Sn 3.63-3.82
Sn 0.3029 0.7376 0.4581 [4 per cell]  2 Sb 2.84-2.94
Sb 0.4021 0.0170 0.7910 [4 per cell]  2 Sn 2.84-2.94

N(E_F)	0.3311	states/eV per atom
total moment	0.00	μB/f.u.
formation energy from raw total energies	-0.54	eV/atom
energy above the lowest structure with this stoichiometry	21	kJ/mol of formula units
crystal system	monoclinic